VASP calculation (meta-GGA SCAN) on a PBEsol-optimized structure of SrTlCl3.

- Raw formation energy: -1.323 eV per atom
- M_tot: 0.000 μB per cell
- N(E_F): 0.6 states/eV/cell
- VASP energy: -25.037 eV per atom

Cell: 5.574 5.574 5.574 Å, 90.00 90.00 90.00°
Sites, in units of the cell vectors:
1 Sr 0.500 0.500 0.500
2 Cl 0.000 0.500 0.000
3 Cl 0.500 0.000 0.000
4 Cl 0.000 0.000 0.500
5 Tl 0.000 0.000 0.000

VASP calculation (meta-GGA SCAN) on a PBEsol-optimized structure of LiLaZn2.

- M_tot: 0.000 μB per cell
- N(E_F): 0.7 states/eV/cell
- VASP energy: -18.404 eV per atom

Cell: 4.791 4.791 4.791 Å, 60.00 60.00 60.00°
Sites, in units of the cell vectors:
1 Zn 0.750 0.750 0.750
2 Zn 0.000 0.000 0.000
3 La 0.500 0.500 0.500
4 Li 0.250 0.250 0.250